Material: LiCd2O2
Method: DFT, GGA-PBE
State: optimized geometry

Unit cell a=4.3893 b=4.3893 c=6.1804 alpha=69.20 beta=69.20 gamma=90.00
With the nearest neighbours (Å) after each atom.
Atoms (fractional coordinates):
Cd1 0.7500 0.2500 0.5000  4 O 2.35
Cd2 0.2500 0.7500 0.5000  4 O 2.35
O1 0.8278 0.8278 0.3445  1 Li 1.84
O2 0.1722 0.1722 0.6555  1 Li 1.84
Li1 0.0000 0.0000 0.0000  2 O 1.84

The final energy comes out at -3.659 eV per atom. The excess energy over the best structure of this formula in the dataset comes out at 0.45 eV per formula unit. Its raw formation energy is -0.93 eV/atom.